Record 1
The following is a PBE calculation of a geometry-optimized MgUPd structure, from the Alexandria database.

Results
Spin magnetization: 0.650 μB/atom
Formation energy: -280.0 meV/atom

a b c (Å): 3.0508 4.7417 7.9958
angles (deg): 90.00 101.00 90.00
With the nearest neighbours (Å) after each atom.
Element x y z (fractional)
1 Mg 0.9255 0.7500 0.8510  6 Pd 2.76-2.82, 2 Mg 3.05
2 Mg 0.0745 0.2500 0.1490  6 Pd 2.76-2.82, 2 Mg 3.05
3 Pd 0.4281 0.2500 0.8562  6 Mg 2.76-2.82, 2 U 2.99, 2 Pd 3.05
4 Pd 0.5719 0.7500 0.1438  6 Mg 2.76-2.82, 2 U 2.99, 2 Pd 3.05
5 U 0.7646 0.2500 0.5292  6 U 2.86-3.05, 2 Pd 2.99
6 U 0.2354 0.7500 0.4708  6 U 2.86-3.05, 2 Pd 2.99



Record 2
The following is a PBE calculation of a geometry-optimized CaZr2ClF structure, from the Alexandria database.

Results
Spin magnetization: 0.001 μB/atom
Formation energy (no corrections): -0.5452 eV per atom

a b c (Å): 4.3046 7.4515 4.3046
angles (deg): 90.00 90.00 90.00
With the nearest neighbours (Å) after each atom.
Element x y z (fractional)
1 Zr 0.5000 0.0000 0.0000  2 F 2.15
2 Zr 0.0000 0.0000 0.5000  2 F 2.15
3 Ca 0.0000 0.5000 0.0000  4 Cl 3.04
4 F 0.0000 0.0000 0.0000  4 Zr 2.15
5 Cl 0.5000 0.5000 0.5000  4 Ca 3.04